# MnCu2Si | Alexandria | PBE-GGA | optimized geometry
data_MnCu2Si
_chemical_formula_sum 'Mn1 Cu2 Si1'
_symmetry_space_group_name_H-M 'P 4/m m m'
_symmetry_Int_Tables_number 123
_symmetry_space_group_name_Hall '-P 4 2'
_cell_length_a 3.536
_cell_length_b 3.536
_cell_length_c 3.849
_cell_angle_alpha 90.00
_cell_angle_beta 90.00
_cell_angle_gamma 90.00
loop_
_atom_site_label
_atom_site_type_symbol
_atom_site_fract_x
_atom_site_fract_y
_atom_site_fract_z
Mn1 Mn 0.000 0.000 0.000
Cu1 Cu 0.000 0.500 0.500
Si1 Si 0.500 0.500 0.000
# E_tot ... -23.15 eV for the cell shown
# Uncorrected formation energy ... -0.0917 eV per atom
# Spin magnetization ... 0.577 μB/atom


# Mn2CuSi | Alexandria | PBE-GGA | optimized geometry
data_Mn2CuSi
_chemical_formula_sum 'Mn4 Cu2 Si2'
_symmetry_space_group_name_H-M 'C m m m'
_symmetry_Int_Tables_number 65
_symmetry_space_group_name_Hall '-C 2 2'
_cell_length_a 5.168
_cell_length_b 7.028
_cell_length_c 2.656
_cell_angle_alpha 90.00
_cell_angle_beta 90.00
_cell_angle_gamma 90.00
loop_
_atom_site_label
_atom_site_type_symbol
_atom_site_fract_x
_atom_site_fract_y
_atom_site_fract_z
Mn1 Mn 0.250 0.250 0.000
Cu1 Cu 0.000 0.000 0.500
Si1 Si 0.000 0.500 0.500
# E_tot ... -56.50 eV for the cell shown
# Uncorrected formation energy ... -0.0984 eV per atom
# Spin magnetization ... 1.239 μB/atom


# MnCu3Si | Alexandria | PBE-GGA | optimized geometry
data_MnCu3Si
_chemical_formula_sum 'Mn1 Cu3 Si1'
_symmetry_space_group_name_H-M 'P m -3 m'
_symmetry_Int_Tables_number 221
_symmetry_space_group_name_Hall '-P 4 2 3'
_cell_length_a 4.358
_cell_length_b 4.358
_cell_length_c 4.358
_cell_angle_alpha 90.00
_cell_angle_beta 90.00
_cell_angle_gamma 90.00
loop_
_atom_site_label
_atom_site_type_symbol
_atom_site_fract_x
_atom_site_fract_y
_atom_site_fract_z
Mn1 Mn 0.000 0.000 0.000
Cu1 Cu 0.000 0.500 0.500
Si1 Si 0.500 0.500 0.500
# E_tot ... -24.16 eV for the cell shown
# Uncorrected formation energy ... 0.5452 eV per atom
# Spin magnetization ... 0.907 μB/atom


# MnCu2Si | Alexandria | PBE-GGA | optimized geometry
data_MnCu2Si
_chemical_formula_sum 'Mn3 Cu6 Si3'
_symmetry_space_group_name_H-M 'R -3 m'
_symmetry_Int_Tables_number 166
_symmetry_space_group_name_Hall '-R 3 2"'
_cell_length_a 2.6500
_cell_length_b 2.6500
_cell_length_c 25.0239
_cell_angle_alpha 90.00
_cell_angle_beta 90.00
_cell_angle_gamma 120.00
loop_
_atom_site_label
_atom_site_type_symbol
_atom_site_fract_x
_atom_site_fract_y
_atom_site_fract_z
Mn1 Mn 0.0000 0.0000 0.0000
Cu1 Cu 0.0000 0.0000 0.2473
Si1 Si 0.0000 0.0000 0.5000
# E_tot ... -66.50 eV for the cell shown
# Uncorrected formation energy ... 0.1546 eV per atom
# Spin magnetization ... 0.813 μB/atom